Entry 1:
The following is a PBE-GGA calculation of a geometry-optimized KCaTi2 structure, from the Alexandria database.

```
4
Lattice="0.000 3.974 3.974 3.974 0.000 3.974 3.974 3.974 0.000" Properties=species:S:1:pos:R:3 pbc="T T T"
Ti 1.987 1.987 1.987
Ti 5.961 5.961 5.961
K 0.000 0.000 0.000
Ca 3.974 3.974 3.974
```

Output
Crystal system: cubic
DFT formation energy, eV/atom: 1.254
Offset from the most stable computed form, eV/atom: 0.0041
Uncorrected energy, eV/atom: -3.4682
N(E_F), states/eV/cell: 8.7

=====

Entry 2:
The following is a PBE-GGA calculation of a geometry-optimized KCa2Ti structure, from the Alexandria database.

```
8
Lattice="5.162 0.000 0.000 0.000 5.162 0.000 2.581 2.581 12.241" Properties=species:S:1:pos:R:3 pbc="T T T"
Ca 3.871 3.767 9.181
Ca 1.186 3.871 3.060
Ca 6.452 6.557 9.181
Ca 3.976 1.290 3.060
Ti 5.162 2.581 6.120
Ti 0.000 0.000 0.000
K 2.581 5.162 6.120
K 2.581 2.581 0.000
```

Output
Crystal system: tetragonal
DFT formation energy, eV/atom: 0.920
Offset from the most stable computed form, eV/atom: 0.2517
Uncorrected energy, eV/atom: -2.3291
N(E_F), states/eV/cell: 20.7

=====

Entry 3:
The following is a PBE-GGA calculation of a geometry-optimized K3CaTi structure, from the Alexandria database.

```
5
Lattice="7.169 0.000 0.000 0.000 7.169 0.000 0.000 0.000 7.169" Properties=species:S:1:pos:R:3 pbc="T T T"
Ca 0.000 0.000 0.000
K 0.000 3.584 0.000
K 3.584 0.000 0.000
K 0.000 0.000 3.584
Ti 3.584 3.584 3.584
```

Output
Crystal system: cubic
DFT formation energy, eV/atom: 1.275
Offset from the most stable computed form, eV/atom: 0.3187
Uncorrected energy, eV/atom: -1.3632
N(E_F), states/eV/cell: 26.3